(1)
VASP calculation (PBE) on a relaxed Na3Li12Mg crystal.

Structure (POSCAR):
```
Na3Li12Mg
1.0
4.491 0.000 0.000
0.000 4.491 0.000
0.000 0.000 18.305
Na Li Mg
3 12 1
Direct
0.000 0.000 0.000
0.000 0.000 0.257
0.000 0.000 0.743
0.000 0.500 0.127
0.000 0.500 0.384
0.000 0.500 0.616
0.000 0.500 0.873
0.500 0.000 0.127
0.500 0.000 0.384
0.500 0.000 0.616
0.500 0.000 0.873
0.500 0.500 0.000
0.500 0.500 0.252
0.500 0.500 0.500
0.500 0.500 0.748
0.000 0.000 0.500
```

DFT formation energy = 35.6 meV per atom



(2)
VASP calculation (PBE) on a relaxed Zr4TcOs crystal.

Structure (POSCAR):
```
Zr4TcOs
1.0
0.000 3.899 3.899
3.899 0.000 3.899
3.899 3.899 0.000
Zr Tc Os
4 1 1
Direct
0.125 0.125 0.125
0.125 0.125 0.626
0.125 0.626 0.125
0.626 0.125 0.125
0.500 0.500 0.500
0.750 0.750 0.750
```

Energy above the lowest structure with this stoichiometry = 1007.8 meV/atom
DFT formation energy = 718.2 meV per atom



(3)
VASP calculation (PBE) on a relaxed PrHBr2 crystal.

Structure (POSCAR):
```
PrHBr2
1.0
3.504 -2.023 0.000
3.504 2.023 0.000
-2.327 0.000 7.594
Pr H Br
1 1 2
Direct
0.000 0.000 0.000
0.666 0.666 0.000
0.248 0.248 0.742
0.419 0.419 0.258
```



(4)
VASP calculation (PBE) on a relaxed ScAg2Pd2 crystal.

Structure (POSCAR):
```
ScAg2Pd2
1.0
-1.916 1.916 6.489
1.916 -1.916 6.489
1.916 1.916 -6.489
Sc Ag Pd
1 2 2
Direct
0.000 0.000 0.000
0.399 0.399 0.000
0.601 0.601 0.000
0.250 0.750 0.500
0.750 0.250 0.500
```

Energy above the lowest structure with this stoichiometry = 246.8 meV/atom
DFT formation energy = -51.1 meV per atom



(5)
VASP calculation (PBE) on a relaxed Ac3Nb2P2N4 crystal.

Structure (POSCAR):
```
Ac3Nb2P2N4
1.0
-2.125 2.125 11.425
2.125 -2.125 11.425
2.125 2.125 -11.425
Ac Nb P N
3 2 2 4
Direct
0.000 0.000 0.000
0.166 0.166 0.000
0.834 0.834 0.000
0.412 0.412 0.000
0.588 0.588 0.000
0.305 0.305 0.000
0.695 0.695 0.000
0.078 0.578 0.500
0.422 0.922 0.500
0.578 0.078 0.500
0.922 0.422 0.500
```

Energy relative to the elements, uncorrected = -1.173 eV/atom



(6)
VASP calculation (PBE) on a relaxed TmUTc4 crystal.

Structure (POSCAR):
```
TmUTc4
1.0
0.000 3.789 3.789
3.789 0.000 3.789
3.789 3.789 0.000
Tm U Tc
1 1 4
Direct
0.000 0.000 0.000
0.250 0.250 0.250
0.124 0.625 0.625
0.625 0.124 0.625
0.625 0.625 0.124
0.625 0.625 0.625
```

DFT formation energy = -8.2 meV per atom



(7)
VASP calculation (PBE) on a relaxed TlNi2AgOs crystal.

Structure (POSCAR):
```
TlNi2AgOs
1.0
4.569 0.000 0.000
0.000 4.569 0.000
0.000 0.000 5.218
Tl Ni Ag Os
1 2 1 1
Direct
0.000 0.000 0.000
0.000 0.500 0.500
0.500 0.000 0.500
0.500 0.500 0.000
0.000 0.000 0.500
```

DFT formation energy = 1186.4 meV per atom



(8)
VASP calculation (PBE) on a relaxed CdP2O6 crystal.

Structure (POSCAR):
```
CdP2O6
1.0
5.221 -4.839 0.000
5.221 4.839 0.000
-1.426 0.000 4.822
Cd P O
2 4 12
Direct
0.133 0.867 0.750
0.867 0.133 0.250
0.198 0.366 0.765
0.366 0.198 0.265
0.634 0.802 0.735
0.802 0.634 0.235
0.062 0.202 0.678
0.118 0.568 0.808
0.202 0.062 0.178
0.339 0.348 0.545
0.348 0.339 0.045
0.432 0.882 0.692
0.568 0.118 0.308
0.652 0.661 0.955
0.661 0.652 0.455
0.798 0.938 0.822
0.882 0.432 0.192
0.938 0.798 0.322
```

Energy relative to the elements, uncorrected = -1.965 eV/atom



(9)
VASP calculation (PBE) on a relaxed La6AlZn crystal.

Structure (POSCAR):
```
La6AlZn
1.0
3.805 -3.808 0.000
3.805 3.808 0.000
-3.787 0.000 8.822
La Al Zn
6 1 1
Direct
0.103 0.604 0.707
0.245 0.245 0.992
0.396 0.897 0.293
0.604 0.103 0.707
0.755 0.755 0.008
0.897 0.396 0.293
0.000 0.000 0.500
0.500 0.500 0.500
```

DFT formation energy = -162.4 meV per atom



(10)
VASP calculation (PBE) on a relaxed LaCd2In crystal.

Structure (POSCAR):
```
LaCd2In
1.0
1.710 0.987 10.728
-1.710 0.987 10.728
0.000 -1.974 10.728
La Cd In
1 2 1
Direct
0.000 0.000 0.000
0.245 0.245 0.245
0.501 0.501 0.501
0.757 0.757 0.757
```

DFT formation energy = -72.0 meV per atom



(11)
VASP calculation (PBE) on a relaxed Ba2ZnTc crystal.

Structure (POSCAR):
```
Ba2ZnTc
1.0
5.760 0.000 0.000
0.000 5.760 0.000
0.000 0.000 3.761
Ba Zn Tc
2 1 1
Direct
0.000 0.500 0.000
0.500 0.000 0.000
0.000 0.000 0.500
0.500 0.500 0.500
```

DFT formation energy = 622.5 meV per atom



(12)
VASP calculation (PBE) on a relaxed CrFe2Cu crystal.

Structure (POSCAR):
```
CrFe2Cu
1.0
1.465 -1.963 0.000
1.465 1.963 0.000
0.000 0.000 8.064
Cr Fe Cu
1 2 1
Direct
0.000 0.000 0.000
0.500 0.500 0.245
0.500 0.500 0.755
0.000 0.000 0.500
```

DFT formation energy = 127.6 meV per atom



Number 1: DOS(E_F) 0.49 states/eV per atom, total DFT energy (no corrections) -1.747 eV/atom, spin magnetization 0.00 μB/f.u.. Number 2: DOS(E_F) 1.81 states/eV per atom, total DFT energy (no corrections) -8.580 eV/atom, spin magnetization 0.68 μB/f.u.. Number 3: DOS(E_F) 0.00 states/eV per atom, total DFT energy (no corrections) -4.406 eV/atom, spin magnetization 0.00 μB/f.u.. Number 4: DOS(E_F) 0.72 states/eV per atom, total DFT energy (no corrections) -4.535 eV/atom, spin magnetization 0.00 μB/f.u.. Number 5: DOS(E_F) 0.29 states/eV per atom, total DFT energy (no corrections) -8.136 eV/atom, spin magnetization 0.00 μB/f.u.. Number 6: DOS(E_F) 2.30 states/eV per atom, total DFT energy (no corrections) -9.545 eV/atom, spin magnetization 1.86 μB/f.u.. Number 7: DOS(E_F) 1.25 states/eV per atom, total DFT energy (no corrections) -4.416 eV/atom, spin magnetization 0.00 μB/f.u.. Number 8: DOS(E_F) 0.00 states/eV per atom, total DFT energy (no corrections) -6.574 eV/atom, spin magnetization 0.00 μB/f.u.. Number 9: DOS(E_F) 1.27 states/eV per atom, total DFT energy (no corrections) -4.485 eV/atom, spin magnetization 0.00 μB/f.u.. Number 10: DOS(E_F) 0.76 states/eV per atom, total DFT energy (no corrections) -2.446 eV/atom, spin magnetization 0.00 μB/f.u.. Number 11: DOS(E_F) 1.06 states/eV per atom, total DFT energy (no corrections) -3.249 eV/atom, spin magnetization 2.06 μB/f.u.. Number 12: DOS(E_F) 0.97 states/eV per atom, total DFT energy (no corrections) -7.534 eV/atom, spin magnetization 4.11 μB/f.u..